# 1
## Nb2TeN (PBE)

Data for an optimized crystal structure of Nb2TeN.

Calculated values
The calculation puts the energy relative to the lowest polymorph listed for this composition at 0.7030 eV/atom. The uncorrected formation energy is 526 meV per atom. The density of states at the Fermi level is 1.209 states/eV/atom. Its total energy is -7.375 eV/atom.

Structure (CIF):
```
data_Nb2TeN
_cell_length_a 6.3788
_cell_length_b 6.3788
_cell_length_c 6.3788
_cell_angle_alpha 90.00
_cell_angle_beta 90.00
_cell_angle_gamma 90.00
_space_group_name_H-M_alt 'F m -3 m'
_space_group_IT_number 225
_space_group_name_Hall '-F 4 2 3'
loop_
_atom_site_label
_atom_site_fract_x
_atom_site_fract_y
_atom_site_fract_z
_atom_site_occupancy
Nb1 0.2500 0.2500 0.2500 1
Te1 0.0000 0.0000 0.0000 1
N1 0.0000 0.0000 0.5000 1
```


# 2
## SrPrZn4 (PBE)

Data for an optimized crystal structure of SrPrZn4.

Calculated values
The value obtained for the formation energy is -273 meV per atom. The calculation puts the energy relative to the lowest polymorph listed for this composition at 0.0000 eV/atom. The density of states at the Fermi level is 1.047 states/eV/atom. Its total energy is -2.199 eV/atom.

Structure (CIF):
```
data_SrPrZn4
_cell_length_a 3.8973
_cell_length_b 4.5650
_cell_length_c 8.0109
_cell_angle_alpha 90.00
_cell_angle_beta 90.00
_cell_angle_gamma 90.00
_space_group_name_H-M_alt 'P m m m'
_space_group_IT_number 47
_space_group_name_Hall '-P 2 2'
loop_
_atom_site_label
_atom_site_fract_x
_atom_site_fract_y
_atom_site_fract_z
_atom_site_occupancy
Sr1 0.0000 0.0000 0.0000 1
Pr1 0.0000 0.5000 0.5000 1
Zn1 0.5000 0.0000 0.3382 1
Zn2 0.5000 0.5000 0.1722 1
```


# 3
## RbNaTl2Au (PBE)

Data for an optimized crystal structure of RbNaTl2Au.

Calculated values
The value obtained for the formation energy is -75 meV per atom. The calculation puts the energy relative to the lowest polymorph listed for this composition at 0.0842 eV/atom. The density of states at the Fermi level is 0.454 states/eV/atom. Its total energy is -2.134 eV/atom.

Structure (CIF):
```
data_RbNaTl2Au
_cell_length_a 5.6591
_cell_length_b 5.6591
_cell_length_c 5.7543
_cell_angle_alpha 90.00
_cell_angle_beta 90.00
_cell_angle_gamma 90.00
_space_group_name_H-M_alt 'P 4/m m m'
_space_group_IT_number 123
_space_group_name_Hall '-P 4 2'
loop_
_atom_site_label
_atom_site_fract_x
_atom_site_fract_y
_atom_site_fract_z
_atom_site_occupancy
Rb1 0.0000 0.0000 0.0000 1
Na1 0.5000 0.5000 0.0000 1
Tl1 0.0000 0.5000 0.5000 1
Au1 0.5000 0.5000 0.5000 1
```


# 4
## FeHBr3 (PBE)

Data for an optimized crystal structure of FeHBr3.

Calculated values
The calculation puts the energy relative to the lowest polymorph listed for this composition at 0.1772 eV/atom. The density of states at the Fermi level is 0.677 states/eV/atom. Its total energy is -3.071 eV/atom.

Structure (CIF):
```
data_FeHBr3
_cell_length_a 5.0670
_cell_length_b 5.0670
_cell_length_c 5.0670
_cell_angle_alpha 90.00
_cell_angle_beta 90.00
_cell_angle_gamma 90.00
_space_group_name_H-M_alt 'P m -3 m'
_space_group_IT_number 221
_space_group_name_Hall '-P 4 2 3'
loop_
_atom_site_label
_atom_site_fract_x
_atom_site_fract_y
_atom_site_fract_z
_atom_site_occupancy
Fe1 0.0000 0.0000 0.0000 1
H1 0.5000 0.5000 0.5000 1
Br1 0.0000 0.0000 0.5000 1
```


# 5
## LiHCO2 (PBE)

Data for an optimized crystal structure of LiHCO2.

Calculated values
The density of states at the Fermi level is 0.000 states/eV/atom. Its total energy is -6.237 eV/atom.

Structure (CIF):
```
data_LiHCO2
_cell_length_a 12.2876
_cell_length_b 12.3452
_cell_length_c 13.7980
_cell_angle_alpha 90.00
_cell_angle_beta 101.02
_cell_angle_gamma 90.00
_space_group_name_H-M_alt 'C 1 2/c 1'
_space_group_IT_number 15
_space_group_name_Hall '-C 2yc'
loop_
_atom_site_label
_atom_site_fract_x
_atom_site_fract_y
_atom_site_fract_z
_atom_site_occupancy
Li1 0.0053 0.1715 0.0123 1
Li2 0.0118 0.4018 0.9129 1
Li3 0.0818 0.0205 0.1593 1
Li4 0.1686 0.4369 0.7432 1
H1 0.0791 0.3103 0.1887 1
H2 0.1609 0.1790 0.7572 1
H3 0.2243 0.1266 0.4187 1
H4 0.2366 0.3620 0.0218 1
C1 0.0570 0.3689 0.1267 1
C2 0.1081 0.2074 0.6870 1
C3 0.1548 0.0924 0.3634 1
C4 0.2495 0.1073 0.0507 1
O1 0.0213 0.3293 0.0417 1
O2 0.0588 0.0981 0.3835 1
O3 0.0663 0.1348 0.6258 1
O4 0.0703 0.4685 0.1472 1
O5 0.0950 0.3084 0.6756 1
O6 0.1502 0.1015 0.0625 1
O7 0.1649 0.4184 0.8863 1
O8 0.1798 0.0518 0.2860 1
```


# 6
## CrFeSe2 (PBE)

Data for an optimized crystal structure of CrFeSe2.

Calculated values
The calculation puts the energy relative to the lowest polymorph listed for this composition at 0.3519 eV/atom. The uncorrected formation energy is 159 meV per atom. The density of states at the Fermi level is 1.842 states/eV/atom. Its total energy is -6.105 eV/atom.

Structure (CIF):
```
data_CrFeSe2
_cell_length_a 5.3792
_cell_length_b 5.3792
_cell_length_c 10.5362
_cell_angle_alpha 90.00
_cell_angle_beta 90.00
_cell_angle_gamma 90.00
_space_group_name_H-M_alt 'I -4 2 d'
_space_group_IT_number 122
_space_group_name_Hall 'I -4 2bw'
loop_
_atom_site_label
_atom_site_fract_x
_atom_site_fract_y
_atom_site_fract_z
_atom_site_occupancy
Cr1 0.0000 0.0000 0.0000 1
Fe1 0.0000 0.0000 0.5000 1
Se1 0.2415 0.2500 0.6250 1
```